1.
This record from Alexandria describes a relaxed structure of Li2Ac3Ni9. The functional is PBE.

a = 4.091 Å, b = 8.070 Å, c = 8.070 Å
α = 73.26°, β = 75.32°, γ = 75.32°
Element x y z (fractional)
Li (0.500, 0.280, 0.720)
Li (0.500, 0.720, 0.280)
Ac (0.000, 0.000, 0.000)
Ac (0.690, 0.310, 0.310)
Ac (0.310, 0.690, 0.690)
Ni (0.000, 0.500, 0.500)
Ni (0.699, 0.001, 0.601)
Ni (0.301, 0.999, 0.399)
Ni (0.699, 0.601, 0.001)
Ni (0.301, 0.399, 0.999)
Ni (0.896, 0.828, 0.380)
Ni (0.104, 0.172, 0.620)
Ni (0.896, 0.380, 0.828)
Ni (0.104, 0.620, 0.172)

Values from the calculation:
The value obtained for the density of states at the Fermi level is 12.17 states/eV/cell. The total energy comes out at -5.0036 eV per atom. As for the symmetry: Immm. For the total magnetization, the calculation gives 0.00 μB/f.u.



2.
This record from Alexandria describes a relaxed structure of Li2AcNi. The functional is PBE.

a = 3.408 Å, b = 3.408 Å, c = 10.089 Å
α = 80.28°, β = 80.28°, γ = 60.00°
Each line ends with the local moment (μB).
Element x y z (fractional)
Ni (0.500, 0.500, 0.500)  0.15
Ac (0.000, 0.000, 0.000)  0.00
Li (0.114, 0.114, 0.657)  0.00
Li (0.886, 0.886, 0.343)  0.00

Values from the calculation:
The value obtained for the density of states at the Fermi level is 3.00 states/eV/cell. The total energy comes out at -2.8756 eV per atom. As for the symmetry: R-3m. For the total magnetization, the calculation gives 0.11 μB/f.u.